VASP calculation (PBE) on a geometry-optimized Cs2SnHg3Pb4 structure.

Calculated values
Density of states at the Fermi level (states/eV per atom): 0.43
Crystal system: tetragonal
DFT formation energy (kJ per mole of atoms): -12

Cell lengths 5.260, 5.260, 12.935 Å; angles 90.00, 90.00, 90.00 degrees
Positions (direct):
Cs (0.000, 0.500, 0.243)
Cs (0.500, 0.000, 0.757)
Sn (0.500, 0.500, 0.000)
Hg (0.000, 0.000, 0.000)
Hg (0.000, 0.500, 0.632)
Hg (0.500, 0.000, 0.368)
Pb (0.000, 0.000, 0.500)
Pb (0.000, 0.500, 0.870)
Pb (0.500, 0.000, 0.130)
Pb (0.500, 0.500, 0.500)